The following is a DFT calculation (meta-GGA SCAN) of a crystal of YMn2In2 relaxed with PBEsol.

a b c (Å): 6.8352 6.8352 6.8352
angles (deg): 145.68 145.68 49.33
Fractional positions:
Y 0.0000 0.0000 0.0000
Mn 0.2500 0.7500 0.5000
Mn 0.7500 0.2500 0.5000
In 0.3871 0.3871 0.0000
In 0.6129 0.6129 0.0000

Computed properties:
The value obtained for the calculated density is 7.04 g cm⁻³. The calculation puts the formation energy at -0.225 eV/atom. Its crystal system is tetragonal.